Entry 1:
## TlC3 (PBE)

Data for TlC3 after structural relaxation.

* E above lowest polymorph: 3024.7 meV per atom
* raw total energy: -0.27230 Ry per atom
* energy of formation from the pure elements: 3.805 eV per atom
* calculated density: 8.1 g cm⁻³

Geometry as POSCAR:
```
TlC3
1.0
-0.476 2.894 -2.458
-3.733 -0.811 -0.231
-0.609 2.074 2.560
C Tl
3 1
Cartesian
-0.543 2.484 0.051
0.000 0.000 0.000
-2.105 1.042 -1.345
-2.171 0.632 1.164
```



Entry 2:
## BaIn3Ni (PBE)

Data for BaIn3Ni after structural relaxation.

* raw total energy: -0.25531 Ry per atom
* energy of formation from the pure elements: -0.290 eV per atom
* calculated density: 7.0 g cm⁻³

Geometry as POSCAR:
```
BaIn3Ni
1.0
4.611 0.000 0.000
0.000 9.194 0.000
0.000 0.000 12.169
In Ba Ni
12 4 4
Cartesian
3.458 1.184 9.483
3.458 8.677 7.037
3.458 5.787 3.365
1.153 3.413 3.398
1.153 0.517 5.132
3.458 1.190 2.720
1.153 8.004 9.449
3.458 5.781 8.771
1.153 8.010 2.686
1.153 3.407 8.804
1.153 5.114 0.952
3.458 4.080 11.217
3.458 7.530 0.040
1.153 6.261 6.124
3.458 2.933 6.045
1.153 1.664 12.129
3.458 8.290 4.310
3.458 3.693 1.774
1.153 0.904 7.859
1.153 5.501 10.395
```



Entry 3:
## SrAs2CSe (PBE)

Data for SrAs2CSe after structural relaxation.

* E above lowest polymorph: 1849.7 meV per atom
* raw total energy: -0.18377 Ry per atom
* calculated density: 3.0 g cm⁻³

Geometry as POSCAR:
```
SrAs2CSe
1.0
5.724 0.000 0.000
0.000 5.724 0.000
0.000 0.000 5.611
As Se C Sr
2 1 1 1
Cartesian
0.000 2.862 0.000
2.862 0.000 0.000
0.000 0.000 2.806
2.862 2.862 2.806
0.000 0.000 0.000
```



Entry 4:
## Mg2GaBi (PBE)

Data for Mg2GaBi after structural relaxation.

* E above lowest polymorph: 24.8 meV per atom
* raw total energy: -0.19105 Ry per atom
* energy of formation from the pure elements: -0.075 eV per atom
* calculated density: 5.6 g cm⁻³

Geometry as POSCAR:
```
Mg2GaBi
1.0
0.734 3.298 3.877
-3.245 0.041 3.990
1.546 -1.730 4.590
Bi Mg Ga
1 2 1
Cartesian
-0.483 0.805 6.229
-0.241 0.402 3.114
-0.724 1.207 9.343
0.000 0.000 0.000
```



Entry 5:
## Sm7Dy12Al (PBE)

Data for Sm7Dy12Al after structural relaxation.

* raw total energy: -0.33387 Ry per atom
* energy of formation from the pure elements: 0.058 eV per atom
* calculated density: 7.9 g cm⁻³

Geometry as POSCAR:
```
Sm7Dy12Al
1.0
-10.106 5.090 2.137
-6.381 -6.316 -2.567
0.335 -4.116 4.948
Dy Sm Al
12 7 1
Cartesian
-9.020 0.771 0.755
-12.773 -0.593 1.754
-6.206 -5.235 0.370
-6.289 0.340 2.594
-7.131 -6.112 3.763
-9.863 -5.682 1.924
-3.379 -4.749 2.764
-9.945 -0.106 4.147
-4.821 -2.139 0.894
-11.331 -3.203 3.623
-1.367 -2.001 3.350
-14.785 -3.341 1.167
-8.076 -2.671 2.259
-5.252 -2.478 4.401
-11.766 2.534 2.018
-13.373 -5.948 3.304
-4.386 -7.876 2.500
-2.779 0.606 1.213
-10.900 -2.864 0.117
0.000 0.000 0.000
```



Entry 6:
## NbCuBi3 (PBE)

Data for NbCuBi3 after structural relaxation.

* E above lowest polymorph: 0.0 meV per atom
* raw total energy: -0.32497 Ry per atom
* energy of formation from the pure elements: 0.740 eV per atom
* calculated density: 7.9 g cm⁻³

Geometry as POSCAR:
```
NbCuBi3
1.0
5.472 0.000 0.000
0.000 5.472 0.000
0.000 0.000 5.472
Nb Bi Cu
1 3 1
Cartesian
0.000 0.000 0.000
0.000 2.736 0.000
0.000 0.000 2.736
2.736 0.000 0.000
2.736 2.736 2.736
```



Entry 7:
## Cs2HF (PBE)

Data for Cs2HF after structural relaxation.

* E above lowest polymorph: 42.8 meV per atom
* raw total energy: -0.22781 Ry per atom
* calculated density: 3.0 g cm⁻³

Geometry as POSCAR:
```
Cs2HF
1.0
6.827 0.000 0.000
0.000 6.827 0.000
3.414 3.414 6.752
Cs H F
4 2 2
Cartesian
5.238 1.707 1.688
1.589 5.120 1.688
5.120 5.003 5.064
8.534 8.652 5.064
3.414 6.827 3.376
3.414 3.414 0.000
0.000 0.000 0.000
6.827 3.414 3.376
```



Entry 8:
## HfIO2 (PBE)

Data for HfIO2 after structural relaxation.

* raw total energy: -0.56898 Ry per atom
* calculated density: 6.8 g cm⁻³

Geometry as POSCAR:
```
HfIO2
1.0
7.990 -4.368 1.142
9.004 -1.721 -0.435
8.592 -1.634 2.782
Hf I O
1 1 2
Cartesian
12.793 -3.861 1.744
0.000 0.000 0.000
22.230 -6.710 3.031
3.355 -1.013 0.458
```



Entry 9:
## Sc2Te2As (PBE)

Data for Sc2Te2As after structural relaxation.

* raw total energy: -0.41062 Ry per atom
* calculated density: 5.9 g cm⁻³

Geometry as POSCAR:
```
Sc2Te2As
1.0
-6.194 -2.663 -3.853
4.336 -0.844 -6.386
0.896 -3.668 1.094
Te Sc As
4 4 2
Cartesian
0.141 -4.277 -7.394
2.343 -2.771 -4.150
-3.305 -4.404 -4.996
-1.103 -2.898 -1.752
-2.359 -2.797 -7.447
1.533 -1.621 -6.692
0.501 -0.710 -2.792
-3.391 -1.887 -3.548
-0.929 -1.754 -5.120
0.000 0.000 0.000
```



Entry 10:
## Fe14ReIr (PBE)

Data for Fe14ReIr after structural relaxation.

* raw total energy: -0.64109 Ry per atom
* energy of formation from the pure elements: 0.014 eV per atom
* calculated density: 10.0 g cm⁻³

Geometry as POSCAR:
```
Fe14ReIr
1.0
5.015 0.138 0.000
-1.838 4.668 0.000
0.000 0.000 8.154
Fe Ir Re
14 1 1
Cartesian
0.728 2.971 2.017
-0.982 4.102 0.000
1.525 4.171 0.000
3.246 3.047 1.981
4.163 0.701 2.017
-0.063 1.768 0.000
4.163 0.701 6.137
1.645 0.625 6.173
2.444 1.837 0.000
1.525 4.171 4.077
0.728 2.971 6.137
1.645 0.625 1.981
-0.063 1.768 4.077
3.246 3.047 6.173
2.444 1.837 4.077
-0.982 4.102 4.077
```



Entry 11:
## Sm3BiH3 (PBE)

Data for Sm3BiH3 after structural relaxation.

* E above lowest polymorph: 0.0 meV per atom
* raw total energy: -0.33825 Ry per atom
* calculated density: 7.4 g cm⁻³

Geometry as POSCAR:
```
Sm3BiH3
1.0
-6.153 -2.976 -1.094
-3.344 -3.059 5.232
-6.425 4.166 2.908
Sm Bi H
6 2 6
Cartesian
-8.251 -2.129 1.097
-10.670 -0.705 3.453
-5.252 -1.165 3.592
-8.440 -3.187 4.969
-7.671 0.260 5.949
-7.482 1.318 2.077
-6.335 -4.016 2.760
-9.587 2.147 4.285
-9.585 -2.659 2.967
-9.463 -1.192 5.419
-6.652 -1.718 5.418
-9.270 -0.152 1.628
-6.459 -0.677 1.627
-6.337 0.789 4.079
```



Entry 12:
## PbSBrN2 (PBE)

Data for PbSBrN2 after structural relaxation.

* raw total energy: -0.25518 Ry per atom
* calculated density: 4.9 g cm⁻³

Geometry as POSCAR:
```
PbSBrN2
1.0
-1.130 -1.647 4.080
3.211 -3.189 -0.397
3.765 3.485 2.450
N Br Pb S
2 1 1 1
Cartesian
-0.565 -0.823 2.040
1.605 -1.594 -0.199
2.922 -0.675 3.066
0.000 0.000 0.000
1.882 1.743 1.225
```



Entry 13:
## TcTePt (PBE)

Data for TcTePt after structural relaxation.

* E above lowest polymorph: 188.9 meV per atom
* raw total energy: -0.45440 Ry per atom
* calculated density: 12.8 g cm⁻³

Geometry as POSCAR:
```
TcTePt
1.0
-2.834 3.114 1.014
-1.201 -3.265 -2.579
-0.980 -1.770 2.697
Te Pt Tc
1 1 1
Cartesian
-2.338 -2.209 0.249
-0.943 -1.704 2.597
-2.714 0.222 0.983
```



Entry 14:
## Sm3Tm6Mg (PBE)

Data for Sm3Tm6Mg after structural relaxation.

* E above lowest polymorph: 101.6 meV per atom
* raw total energy: -0.30349 Ry per atom
* energy of formation from the pure elements: 0.129 eV per atom
* calculated density: 8.0 g cm⁻³

Geometry as POSCAR:
```
Sm3Tm6Mg
1.0
8.926 0.000 0.000
0.000 8.735 -1.051
0.000 -2.974 8.280
Tm Sm Mg
12 6 2
Cartesian
2.555 7.984 -0.452
2.408 2.121 6.305
5.356 3.729 6.256
0.893 5.266 5.031
5.356 0.495 2.198
1.399 5.304 1.683
0.893 2.032 0.973
5.862 0.457 5.546
2.408 0.089 3.755
6.871 5.672 3.474
6.871 3.640 0.925
7.018 -2.223 7.682
3.876 6.457 4.581
8.339 3.025 7.316
8.193 2.443 3.963
3.729 3.318 3.266
8.339 -0.695 2.648
3.876 2.736 -0.087
4.613 6.013 1.119
0.150 -0.251 6.111
```



Entry 15:
## CeTh3Sb6 (PBE)

Data for CeTh3Sb6 after structural relaxation.

* raw total energy: -0.41470 Ry per atom
* calculated density: 7.1 g cm⁻³

Geometry as POSCAR:
```
CeTh3Sb6
1.0
10.372 1.190 -2.692
-1.384 5.640 -2.836
-0.289 -0.537 6.439
Sb Th Ce
6 3 1
Cartesian
2.005 1.439 1.897
1.865 1.189 5.001
6.834 5.104 -4.089
7.499 2.388 -2.713
1.201 3.905 3.625
6.695 4.854 -0.985
-0.585 3.703 0.286
9.284 2.590 0.626
0.000 0.000 0.000
4.494 3.415 -2.764
```



Entry 16:
## MgPb2F8 (PBE)

Data for MgPb2F8 after structural relaxation.

* raw total energy: -0.33209 Ry per atom
* calculated density: 5.5 g cm⁻³

Geometry as POSCAR:
```
MgPb2F8
1.0
-2.008 1.209 3.911
-5.980 -1.740 -2.533
3.702 -4.537 3.304
F Mg Pb
8 1 2
Cartesian
1.802 -3.841 3.385
-2.735 -0.257 2.719
-6.088 -1.226 1.296
-1.002 -2.716 4.234
-3.285 -2.352 0.447
-1.552 -4.810 1.963
-0.269 -1.294 1.534
-4.018 -3.774 3.147
3.702 -4.537 3.304
-4.284 -1.750 2.393
-0.003 -3.317 2.289
```



Entry 17:
## TbIn2Hg5 (PBE)

Data for TbIn2Hg5 after structural relaxation.

* raw total energy: -0.12001 Ry per atom
* energy of formation from the pure elements: -0.181 eV per atom
* calculated density: 11.6 g cm⁻³

Geometry as POSCAR:
```
TbIn2Hg5
1.0
-0.563 -1.599 -4.425
4.514 -1.443 -0.053
-4.473 -6.413 5.424
Hg In Tb
5 2 1
Cartesian
1.975 -1.521 -2.239
1.636 -2.693 0.765
0.380 -6.683 2.367
-0.903 -2.772 -1.421
-2.159 -6.761 0.181
-1.219 -3.872 1.554
0.696 -5.583 -0.609
0.000 0.000 0.000
```



Entry 18:
## TiNb7 (PBE)

Data for TiNb7 after structural relaxation.

* raw total energy: -0.72058 Ry per atom
* energy of formation from the pure elements: -0.006 eV per atom
* calculated density: 8.0 g cm⁻³

Geometry as POSCAR:
```
TiNb7
1.0
-3.731 2.643 0.969
-2.734 -3.785 -0.202
4.180 -0.459 6.077
Nb Ti
7 1
Cartesian
-3.232 -0.571 0.383
-0.657 -2.664 4.736
-2.754 -1.091 3.644
-1.627 1.063 2.107
-1.129 -2.151 1.522
0.469 -0.510 3.200
-1.156 0.550 5.322
0.000 0.000 0.000
```



Entry 19:
## ZrScCdNi (PBE)

Data for ZrScCdNi after structural relaxation.

* E above lowest polymorph: 0.0 meV per atom
* raw total energy: -0.41836 Ry per atom
* energy of formation from the pure elements: -0.298 eV per atom
* calculated density: 6.7 g cm⁻³

Geometry as POSCAR:
```
ZrScCdNi
1.0
-0.849 2.731 1.400
-2.377 -1.504 1.492
4.606 -1.536 5.789
Ni Cd Zr Sc
1 1 1 1
Cartesian
2.594 -0.865 3.260
0.351 -0.117 0.441
1.993 -0.589 5.978
0.056 0.057 3.544
```



Entry 20:
## LiNdTm2Au4 (PBE)

Data for LiNdTm2Au4 after structural relaxation.

* raw total energy: -0.31974 Ry per atom
* energy of formation from the pure elements: -0.759 eV per atom
* calculated density: 11.9 g cm⁻³

Geometry as POSCAR:
```
LiNdTm2Au4
1.0
4.944 0.000 0.000
2.472 4.281 0.000
2.472 1.427 8.398
Tm Au Nd Li
2 4 1 1
Cartesian
7.416 4.281 6.018
2.472 1.427 2.380
2.472 1.427 5.319
4.944 2.854 6.969
7.416 4.281 3.079
4.944 2.854 1.429
0.000 0.000 0.000
4.944 2.854 4.199
```



Entry 21:
## ZnIn2Se (PBE)

Data for ZnIn2Se after structural relaxation.

* E above lowest polymorph: 143.7 meV per atom
* raw total energy: -0.19009 Ry per atom
* calculated density: 6.4 g cm⁻³

Geometry as POSCAR:
```
ZnIn2Se
1.0
5.008 -0.072 0.000
-0.750 4.952 0.000
0.000 0.000 3.916
In Se Zn
2 1 1
Cartesian
2.129 2.440 0.000
0.000 0.000 0.000
2.504 -0.036 1.958
-0.375 2.476 1.958
```



Entry 22:
## ThNiIr4 (PBE)

Data for ThNiIr4 after structural relaxation.

* raw total energy: -0.61523 Ry per atom
* energy of formation from the pure elements: -0.263 eV per atom
* calculated density: 17.4 g cm⁻³

Geometry as POSCAR:
```
ThNiIr4
1.0
-3.722 1.085 0.895
-2.307 -4.057 -4.679
-0.425 -5.709 5.158
Ir Ni Th
8 2 2
Cartesian
-4.415 -7.669 -0.218
-0.212 -2.854 2.579
-2.947 -6.133 4.026
0.000 0.000 0.000
-3.507 -2.547 -2.652
-2.768 -3.730 1.855
-3.686 -4.950 -0.481
-2.039 -1.011 1.591
-1.878 -4.543 -2.304
-0.854 -5.223 2.783
-0.961 -2.930 -0.444
-1.771 -6.836 0.923
```



Entry 23:
## IrBrN2O (PBE)

Data for IrBrN2O after structural relaxation.

* raw total energy: -0.39286 Ry per atom
* calculated density: 8.7 g cm⁻³

Geometry as POSCAR:
```
IrBrN2O
1.0
3.915 0.000 0.000
0.000 3.915 0.000
0.000 0.000 3.953
N O Ir Br
2 1 1 1
Cartesian
0.000 1.958 0.000
1.958 0.000 0.000
0.000 0.000 1.976
0.000 0.000 0.000
1.958 1.958 1.976
```